MnAlPb2 | PBE-GGA | optimized geometry

a b c (Å): 5.3359 5.3359 3.3693
angles (deg): 90.00 90.00 100.86
Site moments in Bohr magnetons follow the coordinates.
Sites, in units of the cell vectors:
Pb: 0.0000 0.0000 0.0000  -0.04
Pb: 0.5000 0.5000 0.0000  -0.04
Mn: 0.0000 0.5000 0.5000  3.88
Al: 0.5000 0.0000 0.5000  0.00

Results
The formation enthalpy at 0 K comes out at 1.59 eV per formula unit. Its density of states at the Fermi level is 0.74 states/eV/atom.